No. 1
## KPaSbO5 (PBE-GGA)

Data for a relaxed structure of KPaSbO5.

Results
uncorrected formation energy	-2349	meV/atom

Lattice parameters (Å, degrees): 6.489 6.489 8.294 105.59 105.59 105.28
Fractional coordinates of all 16 atoms:
O (0.946, 0.054, 0.750)
O (0.886, 0.289, 0.100)
O (0.289, 0.886, 0.600)
Sb (0.686, 0.314, 0.250)
Sb (0.314, 0.686, 0.750)
O (0.711, 0.114, 0.400)
O (0.054, 0.946, 0.250)
Pa (0.000, 0.000, 0.000)
O (0.358, 0.241, 0.104)
O (0.759, 0.642, 0.396)
O (0.241, 0.358, 0.604)
O (0.114, 0.711, 0.900)
Pa (0.000, 0.000, 0.500)
O (0.642, 0.759, 0.896)
K (0.677, 0.323, 0.750)
K (0.323, 0.677, 0.250)

No. 2
## Co6Ni2W (PBE-GGA)

Data for a relaxed structure of Co6Ni2W.

Results
raw total energy	-65.8	eV/cell

Lattice parameters (Å, degrees): 4.263 4.423 6.649 70.58 81.00 61.95
Each line ends with the local moment (μB).
Fractional coordinates of all 9 atoms:
Co (0.669, 0.660, 0.500)  1.24
Co (0.828, 0.177, 0.841)  1.56
Ni (0.500, 0.838, 0.824)  0.61
Ni (0.500, 0.162, 0.176)  0.61
Co (0.828, 0.518, 0.159)  1.56
Co (0.172, 0.823, 0.159)  1.56
Co (0.331, 0.340, 0.500)  1.24
W (0.000, 0.000, 0.500)  -0.27
Co (0.172, 0.482, 0.841)  1.56

No. 3
## Co2BPdAu (PBE-GGA)

Data for a relaxed structure of Co2BPdAu.

Results
raw total energy	-22.2	eV/cell

Lattice parameters (Å, degrees): 4.770 3.958 4.770 90.00 90.00 90.00
Each line ends with the local moment (μB).
Fractional coordinates of all 5 atoms:
B (0.000, 0.500, 0.000)  0.08
Co (0.000, 0.000, 0.500)  2.37
Co (0.500, 0.000, 0.000)  1.91
Pd (0.500, 0.500, 0.500)  0.17
Au (0.000, 0.000, 0.000)  0.10

No. 4
## CePu2Cd2Sn2 (PBE-GGA)

Data for a relaxed structure of CePu2Cd2Sn2.

Results
raw total energy	-45.7	eV/cell

Lattice parameters (Å, degrees): 4.999 4.999 9.091 74.04 74.04 60.00
Each line ends with the local moment (μB).
Fractional coordinates of all 7 atoms:
Pu (0.856, 0.856, 0.432)  -5.76
Pu (0.144, 0.144, 0.568)  -5.76
Sn (0.268, 0.268, 0.195)  0.02
Cd (0.573, 0.573, 0.280)  -0.03
Ce (0.000, 0.000, 0.000)  0.56
Cd (0.427, 0.427, 0.720)  -0.03
Sn (0.732, 0.732, 0.805)  0.02